[1]
A plane-wave DFT calculation with PBE-GGA was carried out for crystalline LiNb2H4 at its relaxed geometry.

Values from the calculation:
Its density of states at the Fermi level is 7.95 states/eV/cell. The crystal system is monoclinic. The total energy is -5.23 eV/atom. Its calculated density is 4.649 Mg/m³.

a = 8.2226 Å, b = 8.2645 Å, c = 5.8320 Å
α = 90.00°, β = 134.82°, γ = 90.00°
With the nearest neighbours (Å) after each atom.
Space group C2/c (No. 15)
Asymmetric unit:
Li  0.0000  0.1241  0.2500  4 H 1.89-1.90
Nb  0.0000  0.5000  0.0000  6 H 2.00-2.01
Nb  0.2500  0.2500  0.0000  6 H 2.00-2.01
H  0.0022  0.2578  0.5162  1 Li 1.90, 3 Nb 2.00-2.01
H  0.2357  0.4925  0.9834  1 Li 1.89, 3 Nb 2.00-2.01


[2]
A plane-wave DFT calculation with PBE-GGA was carried out for crystalline Mn2Pt at its relaxed geometry.

Values from the calculation:
Its density of states at the Fermi level is 27.49 states/eV/cell. The crystal system is tetragonal. The total energy is -8.20 eV/atom. Its calculated density is 11.338 Mg/m³.

a = 3.8602 Å, b = 3.8602 Å, c = 23.9781 Å
α = 90.00°, β = 90.00°, γ = 90.00°
With the nearest neighbours (Å) after each atom.
Space group I4_1/amd (No. 141, origin choice 2)
Asymmetric unit:
Mn  0.0000  0.2500  0.1252  4 Pt 2.73, 8 Mn 2.73-2.80
Mn  0.0000  0.2500  0.2907  6 Pt 2.73-2.81, 6 Mn 2.75-2.80
Pt  0.0000  0.2500  0.7944  10 Mn 2.73-2.81, 2 Pt 2.88


[3]
A plane-wave DFT calculation with PBE-GGA was carried out for crystalline YCoAg at its relaxed geometry.

Values from the calculation:
Its density of states at the Fermi level is 9.50 states/eV/cell. The crystal system is monoclinic. The total energy is -5.62 eV/atom. Its calculated density is 7.144 Mg/m³.

a = 12.6475 Å, b = 3.9082 Å, c = 4.9151 Å
α = 90.00°, β = 101.86°, γ = 90.00°
With the nearest neighbours (Å) after each atom.
Space group C2/m (No. 12)
Asymmetric unit:
Y  0.1271  0.0000  0.3295  4 Co 2.73-3.01
Co  0.2311  0.0000  0.8953  2 Co 2.21
Ag  0.0734  0.5000  0.7822  3 Co 2.65-2.77


[4]
A plane-wave DFT calculation with PBE-GGA was carried out for crystalline Nd8YTm3 at its relaxed geometry.

Values from the calculation:
Its density of states at the Fermi level is 16.91 states/eV/cell. The crystal system is triclinic. The total energy is -4.82 eV/atom. Its calculated density is 7.153 Mg/m³.

a = 6.3302 Å, b = 7.2998 Å, c = 9.0406 Å
α = 101.68°, β = 96.68°, γ = 90.06°
With the nearest neighbours (Å) after each atom.
Space group P1 (No. 1)
Asymmetric unit:
Nd  0.0000  0.0000  0.0000  1 Y 3.59, 7 Nd 3.59-3.70, 4 Tm 3.61-3.65
Nd  0.0007  0.5033  0.9995  8 Nd 3.60-3.67, 4 Tm 3.63-3.67
Nd  0.2794  0.4263  0.6660  4 Tm 3.58-3.64, 7 Nd 3.59-3.69, 1 Y 3.65
Nd  0.2832  0.9212  0.6681  8 Nd 3.60-3.69, 3 Tm 3.60-3.68, 1 Y 3.64
Nd  0.3935  0.5901  0.3345  4 Tm 3.57-3.67, 6 Nd 3.59-3.66, 2 Y 3.64-3.66
Nd  0.5052  0.2551  0.0019  1 Y 3.58, 3 Tm 3.61-3.65, 8 Nd 3.61-3.70
Nd  0.7788  0.1716  0.6640  3 Tm 3.57-3.66, 8 Nd 3.61-3.68, 1 Y 3.62
Nd  0.8885  0.8343  0.3317  4 Tm 3.58-3.68, 6 Nd 3.59-3.66, 2 Y 3.66-3.67
Y  0.3893  0.0875  0.3298  9 Nd 3.58-3.67, 3 Tm 3.58-3.66
Tm  0.5030  0.7546  0.0012  10 Nd 3.58-3.67, 1 Y 3.58, 1 Tm 3.63
Tm  0.7778  0.6696  0.6642  2 Tm 3.57-3.63, 10 Nd 3.57-3.68
Tm  0.8916  0.3390  0.3362  1 Tm 3.57, 9 Nd 3.57-3.68, 2 Y 3.65-3.66


[5]
A plane-wave DFT calculation with PBE-GGA was carried out for crystalline Sr2UAsN2 at its relaxed geometry.

Values from the calculation:
The uncorrected formation energy comes out at -1129 meV per atom. Its density of states at the Fermi level is 3.71 states/eV/cell. The crystal system is tetragonal. The total energy is -7.12 eV/atom. Its calculated density is 6.811 Mg/m³.

a = 4.3480 Å, b = 4.3480 Å, c = 6.6572 Å
α = 90.00°, β = 90.00°, γ = 90.00°
With the nearest neighbours (Å) after each atom.
Space group P4/mmm (No. 123)
Asymmetric unit:
Sr  0.0000  0.0000  0.2376  4 N 2.79
U  0.5000  0.5000  0.5000  4 N 2.17
As  0.5000  0.5000  0.0000  2 U 3.33, 8 Sr 3.46
N  0.0000  0.5000  0.5000  2 U 2.17


[6]
A plane-wave DFT calculation with PBE-GGA was carried out for crystalline Hg2Pb13 at its relaxed geometry.

Values from the calculation:
Its density of states at the Fermi level is 20.56 states/eV/cell. The crystal system is trigonal. The total energy is -3.12 eV/atom. Its calculated density is 8.643 Mg/m³. For the offset from the most stable computed form, the calculation gives 1.88 eV/f.u.

a = 9.0487 Å, b = 9.0487 Å, c = 25.1547 Å
α = 90.00°, β = 90.00°, γ = 120.00°
With the nearest neighbours (Å) after each atom.
Space group R-3m (No. 166, hexagonal axes)
Asymmetric unit:
Hg  0.0000  0.0000  0.2355  6 Pb 3.26-3.65
Pb  0.0000  0.0000  0.0000  12 Pb 3.29
Pb  0.0792  0.5396  0.3096  8 Pb 3.29-3.48, 1 Hg 3.65
Pb  0.0819  0.5409  0.5617  1 Hg 3.26, 7 Pb 3.29-3.48